(1)
{
  "formula": "RbNdCoSe3",
  "functional": "PBE",
  "state": "relaxed",
  "lattice_angstrom": [[2.094, -7.663, 0.000], [2.094, 7.663, 0.000], [0.000, 0.000, 11.203]],
  "species": ["Rb", "Rb", "Nd", "Nd", "Co", "Co", "Se", "Se", "Se", "Se", "Se", "Se"],
  "fractional_positions": [[0.241, 0.759, 0.750], [0.759, 0.241, 0.250], [0.500, 0.500, 0.000], [0.500, 0.500, 0.500], [0.033, 0.967, 0.250], [0.967, 0.033, 0.750], [0.123, 0.877, 0.076], [0.123, 0.877, 0.424], [0.441, 0.559, 0.250], [0.559, 0.441, 0.750], [0.877, 0.123, 0.576], [0.877, 0.123, 0.924]],
  "spacegroup": "Cmcm, No. 63",
  "total_energy_ev_per_cell": -60.28
}

=====

(2)
{
  "formula": "LuSb2O4",
  "functional": "PBE",
  "state": "relaxed",
  "lattice_angstrom": [[0.000, 4.841, 4.841], [4.841, 0.000, 4.841], [4.841, 4.841, 0.000]],
  "species": ["Lu", "Lu", "Sb", "Sb", "Sb", "Sb", "O", "O", "O", "O", "O", "O", "O", "O"],
  "fractional_positions": [[0.125, 0.125, 0.125], [0.875, 0.875, 0.875], [0.000, 0.500, 0.500], [0.500, 0.000, 0.500], [0.500, 0.500, 0.000], [0.500, 0.500, 0.500], [0.251, 0.251, 0.251], [0.251, 0.251, 0.747], [0.251, 0.747, 0.251], [0.253, 0.749, 0.749], [0.747, 0.251, 0.251], [0.749, 0.253, 0.749], [0.749, 0.749, 0.253], [0.749, 0.749, 0.749]],
  "spacegroup": "Fd-3m, No. 227",
  "total_energy_ev_per_cell": -87.04
}

=====

(3)
{
  "formula": "ScIn2PdBr6",
  "functional": "PBE",
  "state": "relaxed",
  "lattice_angstrom": [[0.000, 5.365, 5.365], [5.365, 0.000, 5.365], [5.365, 5.365, 0.000]],
  "species": ["Sc", "In", "In", "Pd", "Br", "Br", "Br", "Br", "Br", "Br"],
  "fractional_positions": [[0.000, 0.000, 0.000], [0.250, 0.250, 0.250], [0.750, 0.750, 0.750], [0.500, 0.500, 0.500], [0.247, 0.247, 0.753], [0.247, 0.753, 0.247], [0.247, 0.753, 0.753], [0.753, 0.247, 0.247], [0.753, 0.247, 0.753], [0.753, 0.753, 0.247]],
  "spacegroup": "Fm-3m, No. 225",
  "total_energy_ev_per_cell": -35.51
}

=====

(4)
{
  "formula": "Cs2OsSe2S",
  "functional": "PBE",
  "state": "relaxed",
  "lattice_angstrom": [[7.378, 0.000, 0.000], [3.256, 7.128, 0.000], [3.451, 1.583, 8.618]],
  "species": ["Cs", "Cs", "Cs", "Cs", "Os", "Os", "Se", "Se", "Se", "Se", "S", "S"],
  "fractional_positions": [[0.087, 0.192, 0.143], [0.335, 0.569, 0.308], [0.665, 0.431, 0.692], [0.913, 0.808, 0.857], [0.395, 0.046, 0.649], [0.605, 0.954, 0.351], [0.184, 0.347, 0.727], [0.379, 0.841, 0.895], [0.621, 0.159, 0.105], [0.816, 0.653, 0.273], [0.280, 0.968, 0.494], [0.720, 0.032, 0.506]],
  "spacegroup": "P-1, No. 2",
  "total_energy_ev_per_cell": -55.37
}

=====

(5)
{
  "formula": "ScAg",
  "functional": "PBE",
  "state": "relaxed",
  "lattice_angstrom": [[3.422, 0.000, 0.000], [0.000, 3.422, 0.000], [0.000, 0.000, 3.422]],
  "species": ["Sc", "Ag"],
  "fractional_positions": [[0.000, 0.000, 0.000], [0.500, 0.500, 0.500]],
  "spacegroup": "Pm-3m, No. 221",
  "formation_enthalpy_0k_mev_per_atom": -286.0
}

=====

(6)
{
  "formula": "Li2AlZn2GeIr2",
  "functional": "PBE",
  "state": "relaxed",
  "lattice_angstrom": [[4.280, 0.000, 0.000], [0.000, 4.280, 0.000], [0.000, 0.000, 6.035]],
  "species": ["Li", "Li", "Al", "Zn", "Zn", "Ge", "Ir", "Ir"],
  "fractional_positions": [[0.000, 0.500, 0.250], [0.500, 0.000, 0.750], [0.000, 0.000, 0.500], [0.000, 0.000, 0.000], [0.500, 0.500, 0.500], [0.500, 0.500, 0.000], [0.000, 0.500, 0.755], [0.500, 0.000, 0.245]],
  "spacegroup": "P-4m2, No. 115",
  "total_energy_ev_per_cell": -36.07
}

=====

(7)
{
  "formula": "Lu2BeRe",
  "functional": "PBE",
  "state": "relaxed",
  "lattice_angstrom": [[0.000, 3.299, 3.299], [3.299, 0.000, 3.299], [3.299, 3.299, 0.000]],
  "species": ["Lu", "Lu", "Be", "Re"],
  "fractional_positions": [[0.000, 0.000, 0.000], [0.250, 0.250, 0.250], [0.500, 0.500, 0.500], [0.750, 0.750, 0.750]],
  "spacegroup": "F-43m, No. 216",
  "total_energy_ev_per_cell": -23.60
}

=====

(8)
{
  "formula": "Nd2FeSi2Os",
  "functional": "PBE",
  "state": "relaxed",
  "lattice_angstrom": [[4.133, 0.000, 0.000], [0.000, 4.133, 0.000], [0.000, 0.000, 6.987]],
  "species": ["Nd", "Nd", "Fe", "Si", "Si", "Os"],
  "fractional_positions": [[0.000, 0.500, 0.178], [0.500, 0.000, 0.822], [0.500, 0.500, 0.500], [0.000, 0.500, 0.673], [0.500, 0.000, 0.327], [0.000, 0.000, 0.500]],
  "spacegroup": "P-4m2, No. 115",
  "total_energy_ev_per_cell": -43.47
}